Here is a relaxed BaHoPb crystal from the Open Quantum Materials Database. Energies are from PBE.

The total energy is -3.5411 eV per atom. Its space group is F-43m (216).

a b c (Å): 5.5767 5.5767 5.5767
angles (deg): 60.00 60.00 60.00
Element x y z (fractional)
Ba 0.0000 0.0000 0.0000
Ho 0.5000 0.5000 0.5000
Pb 0.2500 0.2500 0.2500

---

Here is a relaxed BaHo2Pd2 crystal from the Open Quantum Materials Database. Energies are from PBE.

The total energy is -4.8582 eV per atom. Its space group is P6_3/mmc (194).

a b c (Å): 4.6890 4.6890 16.0132
angles (deg): 90.00 90.00 120.00
Element x y z (fractional)
Ba 0.0000 0.0000 0.2500
Ba 0.0000 0.0000 0.7500
Ho 0.3333 0.6667 0.0666
Ho 0.3333 0.6667 0.4334
Ho 0.6667 0.3333 0.5666
Ho 0.6667 0.3333 0.9334
Pd 0.3333 0.6667 0.6143
Pd 0.3333 0.6667 0.8857
Pd 0.6667 0.3333 0.1143
Pd 0.6667 0.3333 0.3857

---

Here is a relaxed BaHoPdSe3 crystal from the Open Quantum Materials Database. Energies are from PBE.

The total energy is -5.2193 eV per atom. Its space group is Pnma (62).

a b c (Å): 14.2604 4.2199 10.8118
angles (deg): 90.00 90.00 90.00
Element x y z (fractional)
Ba 0.2292 0.2500 0.0437
Ba 0.2708 0.7500 0.5437
Ba 0.7292 0.2500 0.4563
Ba 0.7708 0.7500 0.9563
Ho 0.0243 0.2500 0.3324
Ho 0.4757 0.7500 0.8324
Ho 0.5243 0.2500 0.1676
Ho 0.9757 0.7500 0.6676
Pd 0.0013 0.2500 0.9121
Pd 0.4987 0.7500 0.4121
Pd 0.5013 0.2500 0.5879
Pd 0.9987 0.7500 0.0879
Se 0.0936 0.7500 0.8815
Se 0.0982 0.2500 0.5759
Se 0.1483 0.7500 0.2596
Se 0.3517 0.2500 0.7596
Se 0.4018 0.7500 0.0759
Se 0.4064 0.2500 0.3815
Se 0.5936 0.7500 0.6185
Se 0.5982 0.2500 0.9241
Se 0.6483 0.7500 0.2404
Se 0.8517 0.2500 0.7404
Se 0.9018 0.7500 0.4241
Se 0.9064 0.2500 0.1185

---

Here is a relaxed BaPrHo crystal from the Open Quantum Materials Database. Energies are from PBE.

Its space group is F-43m (216). The polymorph energy (0 for the lowest one) is 0 meV/atom.

a b c (Å): 5.8614 5.8614 5.8614
angles (deg): 60.00 60.00 60.00
Element x y z (fractional)
Ba 0.0000 0.0000 0.0000
Pr 0.5000 0.5000 0.5000
Ho 0.2500 0.2500 0.2500

---

Here is a relaxed BaHoPu crystal from the Open Quantum Materials Database. Energies are from PBE.

Its space group is F-43m (216). The polymorph energy (0 for the lowest one) is 0 meV/atom.

a b c (Å): 5.7648 5.7648 5.7648
angles (deg): 60.00 60.00 60.00
Element x y z (fractional)
Ba 0.0000 0.0000 0.0000
Ho 0.7500 0.7500 0.7500
Pu 0.5000 0.5000 0.5000

---

Here is a relaxed RbBaHoS3 crystal from the Open Quantum Materials Database. Energies are from PBE.

Its space group is Pnma (62). The polymorph energy (0 for the lowest one) is 0 meV/atom.

a b c (Å): 11.8776 4.1738 19.3043
angles (deg): 90.00 90.00 90.00
Element x y z (fractional)
Rb 0.2426 0.2500 0.1204
Rb 0.2574 0.7500 0.6204
Rb 0.7426 0.2500 0.3796
Rb 0.7574 0.7500 0.8796
Ba 0.2427 0.2500 0.3613
Ba 0.2573 0.7500 0.8613
Ba 0.7427 0.2500 0.1387
Ba 0.7573 0.7500 0.6387
Ho 0.0071 0.2500 0.7500
Ho 0.4929 0.7500 0.2500
Ho 0.5071 0.2500 0.7500
Ho 0.9929 0.7500 0.2500
S 0.0049 0.7500 0.6566
S 0.0097 0.7500 0.8434
S 0.2428 0.7500 0.2522
S 0.2572 0.2500 0.7522
S 0.4903 0.2500 0.3434
S 0.4951 0.2500 0.1566
S 0.5049 0.7500 0.8434
S 0.5097 0.7500 0.6566
S 0.7428 0.7500 0.2478
S 0.7572 0.2500 0.7478
S 0.9903 0.2500 0.1566
S 0.9951 0.2500 0.3434

---

- Which formula does entry 4 have?
  BaPrHo